Record 1
Computed, not measured: a relaxed structure of LaNdSmEu at the GGA-PBE level of DFT.

Cell: 8.3723 8.3723 8.3723 Å, 90.00 90.00 90.00°
With the nearest neighbours (Å) after each atom.
Space group F-43m (No. 216)
Symmetry-distinct sites (fractional):
La  0.0000  0.0000  0.0000 x4  4 Sm 3.63, 4 Eu 3.63
Nd  0.0000  0.0000  0.5000 x4  4 Eu 3.63, 4 Sm 3.63
Sm  0.2500  0.2500  0.2500 x4  4 Nd 3.63, 4 La 3.63
Eu  0.2500  0.2500  0.7500 x4  4 La 3.63, 4 Nd 3.63

Computed properties:
energy of formation from the pure elements: 0.13 eV per atom


Record 2
Computed, not measured: a relaxed structure of Th2Zn2InRh5 at the GGA-PBE level of DFT.

Cell: 9.8020 9.8020 3.7476 Å, 90.00 90.00 90.00°
With the nearest neighbours (Å) after each atom.
Space group P4/mbm (No. 127)
Symmetry-distinct sites (fractional):
Th  0.1771  0.3229  0.0000 x4  3 Zn 2.81-2.97, 6 Rh 3.09
Zn  0.1200  0.6200  0.0000 x4  6 Rh 2.51-2.56
In  0.0000  0.0000  0.0000 x2  8 Rh 2.86
Rh  0.0000  0.5000  0.5000 x2  4 Zn 2.51
Rh  0.0743  0.7926  0.5000 x8  2 Zn 2.56, 2 In 2.86

Computed properties:
energy of formation from the pure elements: -0.68 eV per atom


Record 3
Computed, not measured: a relaxed structure of TbZn2Cu9 at the GGA-PBE level of DFT.

Cell: 8.3547 8.3547 2.7387 Å, 90.00 90.00 120.00°
With the nearest neighbours (Å) after each atom.
Space group P6/mmm (No. 191)
Symmetry-distinct sites (fractional):
Tb  0.0000  0.0000  0.0000 x1  2 Tb 2.74, 12 Cu 2.98
Zn  0.3333  0.6667  0.0000 x2  9 Cu 2.41-2.57
Cu  0.0000  0.5000  0.0000 x3  2 Zn 2.41, 8 Cu 2.68
Cu  0.1829  0.3658  0.5000 x6  2 Zn 2.57, 8 Cu 2.65-2.74

Computed properties:
energy of formation from the pure elements: 0.02 eV per atom


Record 4
Computed, not measured: a relaxed structure of Ti2NiRh3 at the GGA-PBE level of DFT.

Cell: 7.4314 9.8580 5.4529 Å, 90.00 90.00 90.00°
With the nearest neighbours (Å) after each atom.
Space group Ibam (No. 72)
Symmetry-distinct sites (fractional):
Ti  0.2157  0.1408  0.0000 x8  6 Rh 2.52-2.63, 1 Ni 2.53
Ni  0.0000  0.5000  0.0000 x4  2 Ti 2.53, 4 Rh 2.55, 2 Ni 2.73
Rh  0.0000  0.0000  0.2500 x4  4 Ti 2.52, 4 Rh 2.73-2.77
Rh  0.0000  0.2812  0.2500 x8  4 Ti 2.52-2.63, 2 Ni 2.55, 3 Rh 2.73-2.77

Computed properties:
energy of formation from the pure elements: -0.22 eV per atom


Record 5
Computed, not measured: a relaxed structure of InHRh3 at the GGA-PBE level of DFT.

Cell: 5.2516 5.2516 10.1625 Å, 90.00 90.00 90.00°
With the nearest neighbours (Å) after each atom.
Space group I-4m2 (No. 119)
Symmetry-distinct sites (fractional):
In  0.0000  0.0000  0.1509 x4  8 Rh 2.65-2.95, 2 H 2.81
H  0.0000  0.0000  0.5000 x2  4 Rh 1.78
H  0.0000  0.5000  0.2500 x2  4 Rh 1.88
Rh  0.0000  0.2547  0.3842 x8  2 H 1.78-1.88
Rh  0.0000  0.5000  0.6187 x4  2 In 2.65, 7 Rh 2.67-2.95, 2 H 2.89

Computed properties:
electronic total energy: -0.4044 Ry/atom


Record 6
Computed, not measured: a relaxed structure of NaLiTe2 at the GGA-PBE level of DFT.

Cell: 4.8260 4.8260 17.1468 Å, 90.00 90.00 120.00°
With the nearest neighbours (Å) after each atom.
Space group R3m (No. 160, hexagonal axes)
Symmetry-distinct sites (fractional):
Na  0.0000  0.0000  0.0000 x3  6 Te 3.11-3.18, 1 Li 3.13
Li  0.0000  0.0000  0.1827 x3  6 Te 3.04-3.21, 1 Na 3.13
Te  0.0000  0.0000  0.5864 x3  1 Te 2.92, 3 Li 3.04, 3 Na 3.11
Te  0.0000  0.0000  0.7566 x3  1 Te 2.92, 3 Na 3.18, 3 Li 3.21

Computed properties:
E_form (uncorrected): -644 meV/atom


Record 7
Computed, not measured: a relaxed structure of Sm5Dy3Er3 at the GGA-PBE level of DFT.

Cell: 11.1901 11.1901 3.4363 Å, 90.00 90.00 120.00°
With the nearest neighbours (Å) after each atom.
Space group P-62m (No. 189)
Symmetry-distinct sites (fractional):
Sm  0.0000  0.3390  0.0000 x3  2 Er 3.29, 2 Dy 3.34, 2 Sm 3.44
Sm  0.3333  0.6667  0.0000 x2  5 Sm 3.44-3.70, 6 Dy 3.81
Dy  0.0000  0.5953  0.5000 x3  2 Er 3.24, 2 Sm 3.34, 2 Dy 3.44
Er  0.0000  0.8406  0.0000 x3  4 Er 3.09-3.44, 2 Dy 3.24, 2 Sm 3.29

Computed properties:
energy of formation from the pure elements: 0.33 eV per atom


Record 8
Computed, not measured: a relaxed structure of Mo4Pt at the GGA-PBE level of DFT.

Cell: 4.0689 4.0689 10.9783 Å, 90.00 90.00 90.00°
With the nearest neighbours (Å) after each atom.
Space group I4/mmm (No. 139)
Symmetry-distinct sites (fractional):
Mo  0.0000  0.0000  0.1132 x4  5 Mo 2.49-2.53
Mo  0.0000  0.5000  0.2500 x4  4 Mo 2.53
Pt  0.0000  0.0000  0.5000 x2  16 Mo 3.13-3.42

Computed properties:
energy of formation from the pure elements: 0.80 eV per atom